# 1
Computed, not measured: a relaxed Ti2CNCl crystal at the PBE-GGA level of DFT.

Calculated values
- Final energy: -6.743 eV per atom
- V: 11.6 Å³/atom
- D(E_F): 0.585 states/eV per atom
- Formation energy without anion corrections: 0.294 eV/atom

a b c (Å): 4.2296 4.2296 3.2298
angles (deg): 90.00 90.00 90.00
Last column: nearest neighbours and their distance in Å.
Space group P4/mmm (No. 123)
One atom of each set of equivalent atoms:
Ti: 0.0000 0.5000 0.0000 x2  2 N 2.11
C: 0.0000 0.0000 0.5000 x1  2 N 1.61
N: 0.0000 0.0000 0.0000 x1  2 C 1.61
Cl: 0.5000 0.5000 0.5000 x1  8 Ti 2.66


# 2
Computed, not measured: a relaxed RbHgI2O8 crystal at the PBE-GGA level of DFT.

Calculated values
- Final energy: -4.028 eV per atom
- V: 19.3 Å³/atom
- D(E_F): 0.139 states/eV per atom
- Formation energy without anion corrections: -0.358 eV/atom

a b c (Å): 11.5083 6.0417 7.2780
angles (deg): 90.00 113.48 90.00
Last column: nearest neighbours and their distance in Å.
Space group C2/m (No. 12)
One atom of each set of equivalent atoms:
Rb: 0.0000 0.0000 0.0000 x2  2 O 2.85
Hg: 0.0000 0.5000 0.5000 x2  4 O 2.37
I: 0.2129 0.0000 0.6784 x4  4 O 1.79-1.85
O: 0.1145 0.5000 0.2087 x4  1 I 1.82
O: 0.1360 0.2448 0.7341 x8  1 I 1.85
O: 0.1687 0.0000 0.4129 x4  1 I 1.79


# 3
Computed, not measured: a relaxed MnReTc2 crystal at the PBE-GGA level of DFT.

Calculated values
- Final energy: -10.506 eV per atom
- Calculated formation energy: 0.081 eV per atom
- V: 14.0 Å³/atom
- D(E_F): 1.121 states/eV per atom

a b c (Å): 3.8425 3.8425 7.6078
angles (deg): 90.00 90.00 90.00
Last column: nearest neighbours and their distance in Å.
Space group I-4m2 (No. 119)
One atom of each set of equivalent atoms:
Mn: 0.0000 0.0000 0.0000 x2  4 Re 2.70, 8 Tc 2.70-2.72
Re: 0.0000 0.5000 0.7500 x2  4 Mn 2.70, 8 Tc 2.70-2.72
Tc: 0.0000 0.0000 0.5000 x2  4 Re 2.70, 4 Tc 2.70, 4 Mn 2.72
Tc: 0.0000 0.5000 0.2500 x2  4 Tc 2.70, 4 Mn 2.70, 4 Re 2.72


# 4
Computed, not measured: a relaxed Be3SiRh crystal at the PBE-GGA level of DFT.

Calculated values
- Final energy: -4.218 eV per atom
- V: 14.5 Å³/atom
- D(E_F): 0.483 states/eV per atom
- Formation energy without anion corrections: 0.573 eV/atom
- Energy above the most stable polymorph in this dataset: 0.0 kJ/mol of atoms

a b c (Å): 4.1685 4.1685 4.1685
angles (deg): 90.00 90.00 90.00
Last column: nearest neighbours and their distance in Å.
Space group Pm-3m (No. 221)
One atom of each set of equivalent atoms:
Be: 0.0000 0.0000 0.5000 x3  2 Rh 2.08
Si: 0.5000 0.5000 0.5000 x1  12 Be 2.95
Rh: 0.0000 0.0000 0.0000 x1  6 Be 2.08


# 5
Computed, not measured: a relaxed RbSbTe2H crystal at the PBE-GGA level of DFT.

Calculated values
- Final energy: -2.832 eV per atom
- V: 26.8 Å³/atom
- D(E_F): 0.721 states/eV per atom
- Energy above the most stable polymorph in this dataset: 0.0 kJ/mol of atoms

a b c (Å): 5.5768 5.5768 4.3077
angles (deg): 90.00 90.00 90.00
Last column: nearest neighbours and their distance in Å.
Space group P4/mmm (No. 123)
One atom of each set of equivalent atoms:
Rb: 0.0000 0.0000 0.0000 x1  8 Te 3.52, 4 Sb 3.94
Sb: 0.5000 0.5000 0.0000 x1  2 H 2.15
Te: 0.0000 0.5000 0.5000 x2  2 H 2.79
H: 0.5000 0.5000 0.5000 x1  2 Sb 2.15


# 6
Computed, not measured: a relaxed AcLu2Sc crystal at the PBE-GGA level of DFT.

Calculated values
- Final energy: -4.759 eV per atom
- Calculated formation energy: 0.111 eV per atom
- V: 31.6 Å³/atom
- D(E_F): 1.945 states/eV per atom
- Energy above the most stable polymorph in this dataset: 2.2 kJ/mol of atoms

a b c (Å): 4.9499 4.9499 5.1663
angles (deg): 90.00 90.00 90.00
Last column: nearest neighbours and their distance in Å.
Space group P4/mmm (No. 123)
One atom of each set of equivalent atoms:
Ac: 0.0000 0.0000 0.0000 x1  4 Sc 3.50, 8 Lu 3.58
Lu: 0.0000 0.5000 0.5000 x2  4 Lu 3.50, 4 Ac 3.58, 4 Sc 3.58
Sc: 0.5000 0.5000 0.0000 x1  4 Ac 3.50, 8 Lu 3.58


# 7
Computed, not measured: a relaxed CeTiGe2 crystal at the PBE-GGA level of DFT.

Calculated values
- Final energy: -6.162 eV per atom
- Calculated formation energy: -0.396 eV per atom
- V: 20.9 Å³/atom
- D(E_F): 0.927 states/eV per atom

a b c (Å): 5.2167 5.2167 3.0674
angles (deg): 90.00 90.00 90.00
Last column: nearest neighbours and their distance in Å.
Space group P4/mmm (No. 123)
One atom of each set of equivalent atoms:
Ce: 0.0000 0.0000 0.0000 x1  8 Ge 3.03, 2 Ce 3.07
Ti: 0.5000 0.5000 0.5000 x1  4 Ge 2.61
Ge: 0.0000 0.5000 0.5000 x2  2 Ti 2.61


# 8
Computed, not measured: a relaxed Ca2GePF crystal at the PBE-GGA level of DFT.

Calculated values
- Final energy: -3.904 eV per atom
- V: 24.9 Å³/atom
- D(E_F): 0.753 states/eV per atom
- Formation energy without anion corrections: -0.724 eV/atom

a b c (Å): 5.5930 5.5930 3.9800
angles (deg): 90.00 90.00 90.00
Last column: nearest neighbours and their distance in Å.
Space group P4/mmm (No. 123)
One atom of each set of equivalent atoms:
Ca: 0.0000 0.5000 0.0000 x2  2 P 2.80
Ge: 0.0000 0.0000 0.5000 x1  8 Ca 3.43
P: 0.5000 0.5000 0.0000 x1  2 F 1.99
F: 0.5000 0.5000 0.5000 x1  2 P 1.99


# 9
Computed, not measured: a relaxed CaCePdAu crystal at the PBE-GGA level of DFT.

Calculated values
- Final energy: -4.768 eV per atom
- Calculated formation energy: -0.666 eV per atom
- V: 23.6 Å³/atom
- D(E_F): 2.219 states/eV per atom

a b c (Å): 7.2323 7.2323 7.2323
angles (deg): 90.00 90.00 90.00
Last column: nearest neighbours and their distance in Å.
Space group F-43m (No. 216)
One atom of each set of equivalent atoms:
Ca: 0.0000 0.0000 0.0000 x4  4 Pd 3.13, 4 Au 3.13
Ce: 0.0000 0.0000 0.5000 x4  4 Pd 3.13, 4 Au 3.13
Pd: 0.2500 0.2500 0.2500 x4  4 Ce 3.13, 4 Ca 3.13
Au: 0.2500 0.2500 0.7500 x4  4 Ce 3.13, 4 Ca 3.13


# 10
Computed, not measured: a relaxed AcPm5Ho2 crystal at the PBE-GGA level of DFT.

Calculated values
- Final energy: -4.600 eV per atom
- Calculated formation energy: 0.027 eV per atom
- V: 34.6 Å³/atom
- D(E_F): 1.431 states/eV per atom

a b c (Å): 7.3260 14.6546 5.1534
angles (deg): 90.00 90.00 90.00
Last column: nearest neighbours and their distance in Å.
Space group Pbam (No. 55)
One atom of each set of equivalent atoms:
Ac: 0.0000 0.0000 0.0000 x2  8 Pm 3.66-3.70, 4 Ho 3.68
Pm: 0.0000 0.5000 0.0000 x2  6 Pm 3.63-3.66, 2 Ac 3.66, 4 Ho 3.67
Pm: 0.0021 0.2525 0.0000 x4  4 Ho 3.61-3.67, 7 Pm 3.61-3.66, 1 Ac 3.70
Pm: 0.2455 0.6274 0.5000 x4  4 Ho 3.59-3.73, 6 Pm 3.61-3.66, 2 Ac 3.69
Ho: 0.2489 0.3726 0.5000 x4  10 Pm 3.59-3.73, 2 Ac 3.68


# 11
Computed, not measured: a relaxed NbTe2O crystal at the PBE-GGA level of DFT.

Calculated values
- Final energy: -4.816 eV per atom
- V: 19.9 Å³/atom
- D(E_F): 0.906 states/eV per atom
- Formation energy without anion corrections: 0.512 eV/atom

a b c (Å): 3.1375 3.1375 28.0587
angles (deg): 90.00 90.00 120.00
Last column: nearest neighbours and their distance in Å.
Space group R-3m (No. 166, hexagonal axes)
One atom of each set of equivalent atoms:
Nb: 0.0000 0.0000 0.0000 x3  2 Te 2.86, 6 Nb 3.14
Te: 0.0000 0.0000 0.1020 x6  3 O 2.56, 1 Nb 2.86
O: 0.0000 0.0000 0.5000 x3  6 Te 2.56


# 12
Computed, not measured: a relaxed KInGe crystal at the PBE-GGA level of DFT.

Calculated values
- Final energy: -2.831 eV per atom
- Calculated formation energy: -0.014 eV per atom
- V: 28.0 Å³/atom
- D(E_F): 0.049 states/eV per atom

a b c (Å): 4.9733 4.9733 7.8561
angles (deg): 90.00 90.00 120.00
Last column: nearest neighbours and their distance in Å.
Space group P-6m2 (No. 187)
One atom of each set of equivalent atoms:
K: 0.0000 0.0000 0.0000 x1  6 In 3.32
K: 0.0000 0.0000 0.5000 x1  6 Ge 3.21
In: 0.6667 0.3333 0.2111 x2  3 Ge 2.99, 3 K 3.32, 1 In 3.32
Ge: 0.3333 0.6667 0.3162 x2  1 Ge 2.89, 3 In 2.99, 3 K 3.21